1.
First-principles (PBE) data for an optimized crystal structure of SmPuPdAu, as listed in Alexandria.

Cell lengths 4.5952, 3.8625, 11.0070 Å; angles 90.00, 90.00, 90.00 degrees
Atoms (fractional coordinates):
Sm: 0.0000 0.0000 0.0000
Sm: 0.0000 0.5000 0.5000
Pu: 0.5000 0.0000 0.2794
Pu: 0.5000 0.5000 0.7794
Pd: 0.0000 0.0000 0.7283
Pd: 0.0000 0.5000 0.2283
Au: 0.5000 0.0000 0.5579
Au: 0.5000 0.5000 0.0579

Output
energy of formation from the pure elements = -0.6073 eV per atom
space group = Amm2, No. 38
density of states at the Fermi level = 14.491 states/eV/f.u.

***

2.
First-principles (PBE) data for an optimized crystal structure of TbDy2TmAs4, as listed in Alexandria.

Cell lengths 7.1172, 4.1114, 7.1177 Å; angles 90.00, 109.46, 90.00 degrees
Atoms (fractional coordinates):
Tb: 0.0000 0.0000 0.0000
Dy: 0.0000 0.5000 0.5000
Dy: 0.5000 0.0000 0.5000
Tm: 0.5000 0.5000 0.0000
As: 0.2520 0.5000 0.2497
As: 0.2528 0.0000 0.7520
As: 0.7472 0.0000 0.2480
As: 0.7480 0.5000 0.7503

Output
energy of formation from the pure elements = -1.5290 eV per atom
space group = P2/m, No. 10
density of states at the Fermi level = 0.996 states/eV/f.u.

***

3.
First-principles (PBE) data for an optimized crystal structure of Hg2Pd6Pt, as listed in Alexandria.

Cell lengths 4.4685, 4.4685, 8.4109 Å; angles 97.41, 97.41, 65.09 degrees
Atoms (fractional coordinates):
Hg: 0.1661 0.1661 0.4312
Hg: 0.8339 0.8339 0.5688
Pd: 0.1648 0.1648 0.1022
Pd: 0.1726 0.1726 0.7800
Pd: 0.4980 0.4980 0.3244
Pd: 0.5020 0.5020 0.6756
Pd: 0.8274 0.8274 0.2200
Pd: 0.8352 0.8352 0.8978
Pt: 0.5000 0.5000 0.0000

Output
energy of formation from the pure elements = -0.0146 eV per atom
space group = C2/m, No. 12
density of states at the Fermi level = 8.704 states/eV/f.u.

***

4.
First-principles (PBE) data for an optimized crystal structure of TbDy2Er2Tm2, as listed in Alexandria.

Cell lengths 11.4717, 3.4386, 11.2468 Å; angles 90.00, 100.66, 90.00 degrees
Atoms (fractional coordinates):
Tb: 0.0000 0.0000 0.0000
Tb: 0.5000 0.5000 0.0000
Dy: 0.2439 0.0000 0.8513
Dy: 0.2561 0.5000 0.1487
Dy: 0.7439 0.5000 0.8513
Dy: 0.7561 0.0000 0.1487
Er: 0.0593 0.0000 0.3027
Er: 0.4407 0.5000 0.6973
Er: 0.5593 0.5000 0.3027
Er: 0.9407 0.0000 0.6973
Tm: 0.1503 0.5000 0.5695
Tm: 0.3497 0.0000 0.4305
Tm: 0.6503 0.0000 0.5695
Tm: 0.8497 0.5000 0.4305

Output
energy of formation from the pure elements = 0.1157 eV per atom
space group = C2/m, No. 12
density of states at the Fermi level = 10.878 states/eV/f.u.

***

5.
First-principles (PBE) data for an optimized crystal structure of Na2In5Hg3, as listed in Alexandria.

Cell lengths 9.2970, 9.2970, 6.5448 Å; angles 99.58, 99.58, 93.57 degrees
Atoms (fractional coordinates):
Na: 0.1001 0.6117 0.8243
Na: 0.3883 0.8999 0.6757
Na: 0.6117 0.1001 0.3243
Na: 0.8999 0.3883 0.1757
In: 0.0404 0.9596 0.7500
In: 0.2369 0.2631 0.9872
In: 0.2562 0.5365 0.3261
In: 0.2631 0.2369 0.4872
In: 0.4635 0.7438 0.1739
In: 0.5365 0.2562 0.8261
In: 0.7369 0.7631 0.5128
In: 0.7438 0.4635 0.6739
In: 0.7631 0.7369 0.0128
In: 0.9596 0.0404 0.2500
Hg: 0.0368 0.7378 0.3472
Hg: 0.2622 0.9632 0.1528
Hg: 0.4302 0.5698 0.7500
Hg: 0.5698 0.4302 0.2500
Hg: 0.7378 0.0368 0.8472
Hg: 0.9632 0.2622 0.6528

Output
energy of formation from the pure elements = -0.0955 eV per atom
space group = C2/c, No. 15
density of states at the Fermi level = 3.484 states/eV/f.u.

***

6.
First-principles (PBE) data for an optimized crystal structure of Tb5Zn6, as listed in Alexandria.

Cell lengths 8.6485, 8.6485, 8.6485 Å; angles 146.47, 131.37, 60.36 degrees
Atoms (fractional coordinates):
Tb: 0.0000 0.0000 0.0000
Tb: 0.1707 0.6707 0.5000
Tb: 0.3440 0.3440 0.0000
Tb: 0.6560 0.6560 0.0000
Tb: 0.8293 0.3293 0.5000
Zn: 0.0958 0.8381 0.2577
Zn: 0.2365 0.5000 0.7365
Zn: 0.4197 0.1619 0.2577
Zn: 0.5803 0.8381 0.7423
Zn: 0.7635 0.5000 0.2635
Zn: 0.9042 0.1619 0.7423

Output
energy of formation from the pure elements = -0.1914 eV per atom
space group = Immm, No. 71
density of states at the Fermi level = 9.610 states/eV/f.u.

***

7.
First-principles (PBE) data for an optimized crystal structure of MnMoRu3, as listed in Alexandria.

Cell lengths 4.3451, 4.3451, 4.3451 Å; angles 90.00, 90.00, 90.00 degrees
Atoms (fractional coordinates):
Mn: 0.0000 0.0000 0.0000
Mo: 0.5000 0.5000 0.5000
Ru: 0.0000 0.0000 0.5000
Ru: 0.0000 0.5000 0.0000
Ru: 0.5000 0.0000 0.0000

Output
energy of formation from the pure elements = 1.3863 eV per atom
space group = Pm-3m, No. 221
density of states at the Fermi level = 11.497 states/eV/f.u.

***

8.
First-principles (PBE) data for an optimized crystal structure of CdTcNF2, as listed in Alexandria.

Cell lengths 4.2981, 4.2981, 3.8099 Å; angles 90.00, 90.00, 90.00 degrees
Atoms (fractional coordinates):
Cd: 0.0000 0.0000 0.0000
Tc: 0.5000 0.5000 0.5000
N: 0.5000 0.5000 0.0000
F: 0.0000 0.5000 0.5000
F: 0.5000 0.0000 0.5000

Output
space group = P4/mmm, No. 123
energy = -0.1943 Ha/atom
density of states at the Fermi level = 4.601 states/eV/f.u.